No. 1
VASP calculation (PBE) on a relaxed NaSm2Tm3Te6 crystal.

a b c (Å): 19.2214 4.3424 8.8513
angles (deg): 90.00 104.08 90.00
Space group C2/m (No. 12)
One atom of each set of equivalent atoms:
Na1 0.0000 0.0000 0.0000 x2
Sm1 0.1723 0.5000 0.3475 x4
Tm1 0.0000 0.0000 0.5000 x2
Tm2 0.1663 0.5000 0.8288 x4
Te1 0.0005 0.5000 0.7442 x4
Te2 0.1615 0.0000 0.5923 x4
Te3 0.1690 0.0000 0.0780 x4


No. 2
VASP calculation (PBE) on a relaxed NaSm2TmTe4 crystal.

a b c (Å): 7.6564 4.3813 7.6960
angles (deg): 90.00 108.85 90.00
Space group P2/m (No. 10)
One atom of each set of equivalent atoms:
Na1 0.0000 0.0000 0.0000 x1
Sm1 0.0000 0.5000 0.5000 x1
Sm2 0.5000 0.0000 0.5000 x1
Tm1 0.5000 0.5000 0.0000 x1
Te1 0.2525 0.5000 0.2444 x2
Te2 0.2558 0.0000 0.7603 x2


Number 1: raw formation energy -1.293 eV per atom, E_tot -4.88 eV per atom. Number 2: raw formation energy -1.316 eV per atom, E_tot -4.79 eV per atom.